(A)
Density functional theory data (PBE-GGA) for a relaxed structure of HoErI.

Lattice parameters (Å, degrees): 3.7975 3.7975 7.4885 90.00 90.00 120.00
Space group P3m1 (No. 156)
Symmetry-distinct sites (fractional):
Ho 0.0000 0.0000 0.0000 x1
Er 0.3333 0.6667 0.6543 x1
I 0.6667 0.3333 0.3275 x1

Calculated values
Its total moment is 0.1 μB per cell.

(B)
Density functional theory data (PBE-GGA) for a relaxed structure of HoErI.

Lattice parameters (Å, degrees): 3.663 3.663 13.744 90.00 90.00 90.00
Space group I4mm (No. 107)
Symmetry-distinct sites (fractional):
Ho 0.000 0.000 0.000 x2
Er 0.000 0.000 0.334 x2
I 0.000 0.000 0.667 x2

Calculated values
Its total moment is 0.0 μB per cell.

The structure with the least stability is (B).

(A)
Density functional theory data (PBE-GGA) for a relaxed structure of Ho3Er3In2.

Lattice parameters (Å, degrees): 5.120 11.679 15.784 90.00 90.00 90.00
Space group Cmcm (No. 63)
Symmetry-distinct sites (fractional):
Ho 0.000 0.041 0.103 x8
Ho 0.000 0.254 0.250 x4
Er 0.000 0.358 0.033 x8
Er 0.000 0.465 0.750 x4
In 0.000 0.228 0.641 x8

Calculated values
Its total moment is 0.0 μB per cell.

(B)
Density functional theory data (PBE-GGA) for a relaxed structure of Ho3Er3In2.

Lattice parameters (Å, degrees): 4.810 4.812 9.626 90.00 90.00 90.00
Space group Pmmm (No. 47)
Symmetry-distinct sites (fractional):
Ho 0.000 0.000 0.000 x1
Ho 0.000 0.000 0.500 x1
Ho 0.500 0.500 0.000 x1
Er 0.000 0.500 0.250 x2
Er 0.500 0.500 0.500 x1
In 0.500 0.000 0.250 x2

Calculated values
Its total moment is 0.0 μB per cell.

The structure with the least stability is (A).

(A)
Density functional theory data (PBE-GGA) for a relaxed structure of Ho6Er3In.

Lattice parameters (Å, degrees): 9.547 5.512 12.314 90.00 110.90 90.00
Space group P2_1/m (No. 11)
Symmetry-distinct sites (fractional):
Ho 0.039 0.250 0.431 x2
Ho 0.189 0.750 0.168 x2
Ho 0.257 0.250 0.011 x2
Ho 0.345 0.750 0.796 x2
Ho 0.348 0.250 0.326 x2
Ho 0.425 0.250 0.638 x2
Er 0.025 0.750 0.868 x2
Er 0.099 0.250 0.721 x2
Er 0.272 0.750 0.472 x2
In 0.468 0.750 0.083 x2

Calculated values
Its total moment is 0.0 μB per cell.

(B)
Density functional theory data (PBE-GGA) for a relaxed structure of Ho6Er3In.

Lattice parameters (Å, degrees): 12.756 3.516 14.290 90.00 108.24 90.00
Space group P2_1/m (No. 11)
Symmetry-distinct sites (fractional):
Ho 0.114 0.250 0.211 x2
Ho 0.164 0.750 0.784 x2
Ho 0.247 0.250 0.606 x2
Ho 0.282 0.750 0.401 x2
Ho 0.356 0.750 0.193 x2
Ho 0.363 0.250 0.978 x2
Er 0.032 0.750 0.408 x2
Er 0.122 0.750 0.004 x2
Er 0.491 0.750 0.602 x2
In 0.422 0.750 0.803 x2

Calculated values
Its total moment is 0.0 μB per cell.

The structure with the least stability is (B).

(A)
Density functional theory data (PBE-GGA) for a relaxed structure of Ho4ErIn.

Lattice parameters (Å, degrees): 4.845 14.667 9.817 90.00 90.00 90.00
Space group Cmc2_1 (No. 36)
Symmetry-distinct sites (fractional):
Ho 0.000 0.000 0.000 x4
Ho 0.000 0.173 0.250 x4
Ho 0.000 0.332 0.505 x4
Ho 0.000 0.496 0.250 x4
Er 0.000 0.333 0.995 x4
In 0.000 0.166 0.750 x4

Calculated values
Its total moment is 0.0 μB per cell.

(B)
Density functional theory data (PBE-GGA) for a relaxed structure of Ho4ErIn.

Lattice parameters (Å, degrees): 3.539 3.539 14.183 90.00 90.00 90.00
Space group P4/mmm (No. 123)
Symmetry-distinct sites (fractional):
Ho 0.000 0.000 0.149 x2
Ho 0.500 0.500 0.325 x2
Er 0.000 0.000 0.500 x1
In 0.500 0.500 0.000 x1

Calculated values
Its total moment is 0.0 μB per cell.

The structure with the least stability is (A).

(A)
Density functional theory data (PBE-GGA) for a relaxed structure of HoErIn.

Lattice parameters (Å, degrees): 3.523 4.522 10.334 90.00 90.00 90.00
Space group Imm2 (No. 44)
Symmetry-distinct sites (fractional):
Ho 0.000 0.000 0.000 x2
Er 0.000 0.000 0.313 x2
In 0.000 0.000 0.658 x2

Calculated values
Its total moment is 0.0 μB per cell.

(B)
Density functional theory data (PBE-GGA) for a relaxed structure of HoErIn.

Lattice parameters (Å, degrees): 9.312 9.372 5.000 90.00 90.00 90.00
Space group Cmmm (No. 65)
Symmetry-distinct sites (fractional):
Ho 0.000 0.184 0.000 x4
Er 0.183 0.500 0.500 x4
In 0.000 0.000 0.500 x2
In 0.000 0.500 0.000 x2

Calculated values
Its total moment is 3.8 μB per cell.

(C)
Density functional theory data (PBE-GGA) for a relaxed structure of HoErIn.

Lattice parameters (Å, degrees): 5.2003 5.2003 3.5954 90.00 90.00 120.00
Space group P3m1 (No. 156)
Symmetry-distinct sites (fractional):
Ho 0.0000 0.0000 0.0000 x1
Er 0.6667 0.3333 0.4439 x1
In 0.3333 0.6667 0.7070 x1

Calculated values
Its total moment is 0.0 μB per cell.

The structure with the least stability is (B).

(A)
Density functional theory data (PBE-GGA) for a relaxed structure of Ho4ErIn3.

Lattice parameters (Å, degrees): 3.487 8.812 15.023 90.00 90.00 90.00
Space group Immm (No. 71)
Symmetry-distinct sites (fractional):
Ho 0.000 0.199 0.140 x8
Er 0.000 0.500 0.000 x2
In 0.000 0.000 0.316 x4
In 0.000 0.500 0.500 x2

Calculated values
Its total moment is 0.0 μB per cell.

(B)
Density functional theory data (PBE-GGA) for a relaxed structure of Ho4ErIn3.

Lattice parameters (Å, degrees): 5.3271 5.3271 27.0740 90.00 90.00 120.00
Space group R-3m (No. 166, hexagonal axes)
Symmetry-distinct sites (fractional):
Ho 0.0000 0.0000 0.1143 x6
Ho 0.0000 0.0000 0.3708 x6
Er 0.0000 0.0000 0.5000 x3
In 0.0000 0.0000 0.0000 x3
In 0.0000 0.0000 0.2365 x6

Calculated values
Its total moment is 2.3 μB per cell.

The structure with the least stability is (A).

(A)
Density functional theory data (PBE-GGA) for a relaxed structure of HoEr4In.

Lattice parameters (Å, degrees): 7.360 7.359 7.539 90.00 90.07 90.00
Space group C2/m (No. 12)
Symmetry-distinct sites (fractional):
Ho 0.000 0.000 0.000 x2
Er 0.250 0.250 0.255 x8
In 0.000 0.500 0.500 x2

Calculated values
Its total moment is 0.0 μB per cell.

(B)
Density functional theory data (PBE-GGA) for a relaxed structure of HoEr4In.

Lattice parameters (Å, degrees): 3.532 3.532 14.118 90.00 90.00 90.00
Space group P4/mmm (No. 123)
Symmetry-distinct sites (fractional):
Ho 0.000 0.000 0.000 x1
Er 0.000 0.000 0.351 x2
Er 0.500 0.500 0.176 x2
In 0.500 0.500 0.500 x1

Calculated values
Its total moment is 0.0 μB per cell.

The structure with the least stability is (A).

(A)
Density functional theory data (PBE-GGA) for a relaxed structure of Ho4Er7In.

Lattice parameters (Å, degrees): 12.006 5.799 12.158 90.00 114.29 90.00
Space group C2/m (No. 12)
Symmetry-distinct sites (fractional):
Ho 0.128 0.000 0.269 x4
Ho 0.143 0.500 0.119 x4
Er 0.000 0.000 0.500 x2
Er 0.098 0.500 0.779 x4
Er 0.131 0.000 0.974 x4
Er 0.202 0.500 0.419 x4
In 0.000 0.500 0.500 x2

Calculated values
Its total moment is 0.0 μB per cell.

(B)
Density functional theory data (PBE-GGA) for a relaxed structure of Ho4Er7In.

Lattice parameters (Å, degrees): 22.079 5.471 6.302 90.00 100.67 90.00
Space group C2/m (No. 12)
Symmetry-distinct sites (fractional):
Ho 0.117 0.000 0.349 x4
Ho 0.209 0.000 0.893 x4
Er 0.000 0.500 0.500 x2
Er 0.047 0.000 0.810 x4
Er 0.136 0.500 0.005 x4
Er 0.210 0.500 0.567 x4
In 0.000 0.500 0.000 x2

Calculated values
Its total moment is 0.0 μB per cell.

The structure with the least stability is (A).